Record 1
This record from the Alexandria database describes an optimized crystal structure of Sm3Cu2Ni7. The functional is PBE.

Output
- Formation energy: -0.341 eV per atom
- D(E_F): 8.06 states/eV per cell
- Calculated total energy: -5.58 eV/atom

Cell: 5.059 5.059 8.691 Å, 73.08 73.08 60.00°
Fractional coordinates of all 12 atoms:
Sm: 0.000 0.000 0.000
Sm: 0.861 0.861 0.417
Sm: 0.139 0.139 0.583
Cu: 0.667 0.667 0.000
Cu: 0.333 0.333 0.000
Ni: 0.500 0.500 0.500
Ni: 0.918 0.417 0.247
Ni: 0.417 0.918 0.247
Ni: 0.417 0.417 0.247
Ni: 0.082 0.583 0.753
Ni: 0.583 0.583 0.753
Ni: 0.583 0.082 0.753

---

Record 2
This record from the Alexandria database describes an optimized crystal structure of ZrAsAu. The functional is PBE.

Output
- Formation energy: -0.491 eV per atom
- D(E_F): 0.46 states/eV per cell
- Calculated total energy: -5.98 eV/atom

Cell: 4.113 4.113 4.189 Å, 90.00 90.00 120.00°
Fractional coordinates of all 3 atoms:
As: 0.000 0.000 0.019
Au: 0.333 0.667 0.291
Zr: 0.667 0.333 0.690

---

Record 3
This record from the Alexandria database describes an optimized crystal structure of ZnNi3Ge. The functional is PBE.

Output
- Formation energy: 0.218 eV per atom
- D(E_F): 7.62 states/eV per cell
- Calculated total energy: -4.43 eV/atom

Cell: 4.294 6.052 6.052 Å, 120.00 90.00 90.00°
Fractional coordinates of all 10 atoms:
Zn: 0.000 0.000 0.000
Zn: 0.500 0.000 0.000
Ni: 0.250 0.798 0.202
Ni: 0.750 0.202 0.798
Ni: 0.250 0.798 0.596
Ni: 0.750 0.202 0.404
Ni: 0.250 0.404 0.202
Ni: 0.750 0.596 0.798
Ge: 0.250 0.334 0.666
Ge: 0.750 0.666 0.334

---

Here are the calculated total moment numbers, same order: 0.000; 0.000; 0.000 (μB/cell).